(1)
Entry from Alexandria via LeMat-Bulk: a geometry-optimized Nb6GePt structure (GGA-PBEsol).

a b c (Å): 5.138 5.138 5.138
angles (deg): 90.00 90.00 90.00
Sites, in units of the cell vectors:
Nb: 0.000 0.249 0.500
Nb: 0.000 0.751 0.500
Nb: 0.249 0.500 0.000
Nb: 0.500 0.000 0.249
Nb: 0.500 0.000 0.751
Nb: 0.751 0.500 0.000
Ge: 0.500 0.500 0.500
Pt: 0.000 0.000 0.000

ΔH_f (0 K)	-0.34	eV/atom
density	10.102	Mg/m³
electronic total energy	-9.943	eV per atom

***

(2)
Entry from Alexandria via LeMat-Bulk: a geometry-optimized Rb3NbGe structure (GGA-PBEsol).

a b c (Å): 6.593 6.593 6.593
angles (deg): 90.00 90.00 90.00
Sites, in units of the cell vectors:
Rb: 0.000 0.000 0.500
Rb: 0.000 0.500 0.000
Rb: 0.500 0.000 0.000
Nb: 0.500 0.500 0.500
Ge: 0.000 0.000 0.000

ΔH_f (0 K)	1.40	eV/atom
density	2.445	Mg/m³
electronic total energy	-2.368	eV per atom
polymorph energy (0 for the lowest one)	0.000	eV per atom

***

(3)
Entry from Alexandria via LeMat-Bulk: a geometry-optimized SrNbRe2Ge structure (GGA-PBEsol).

a b c (Å): 4.674 4.674 4.820
angles (deg): 90.00 90.00 90.00
Sites, in units of the cell vectors:
Sr: 0.000 0.000 0.000
Nb: 0.500 0.500 0.000
Re: 0.000 0.500 0.500
Re: 0.500 0.000 0.500
Ge: 0.500 0.500 0.500

ΔH_f (0 K)	1.29	eV/atom
density	9.864	Mg/m³
electronic total energy	-7.560	eV per atom

***

(4)
Entry from Alexandria via LeMat-Bulk: a geometry-optimized NbGeS2 structure (GGA-PBEsol).

a b c (Å): 7.972 7.972 7.972
angles (deg): 24.00 24.00 24.00
Sites, in units of the cell vectors:
Nb: 0.000 0.000 0.000
Ge: 0.500 0.500 0.500
S: 0.102 0.102 0.102
S: 0.898 0.898 0.898

density	5.179	Mg/m³
electronic total energy	-6.131	eV per atom
uncorrected formation energy	0.1	kJ per mole of atoms

***

Question: Number 3 is which compound?
Answer: SrNbRe2Ge